[1]
This record from the Alexandria database describes a geometry-optimized ReMo structure. The functional is GGA-PBE.

Total moment   0.00 μB/f.u.
Formation enthalpy at 0 K   2.1 eV/f.u.
Symmetry   P6_3/mmc, No. 194
VASP energy   -21.2 eV/f.u.

Geometry as POSCAR:
```
ReMo
1.0
-0.739 1.439 -3.623
-4.593 -2.585 -0.090
-1.190 2.004 3.211
Mo Re
2 2
direct
0.000 0.000 0.000
0.000 0.500 0.000
0.667 0.250 0.333
0.333 0.750 0.667
```



[2]
This record from the Alexandria database describes a geometry-optimized SrIn2F6 structure. The functional is GGA-PBE.

Total moment   0.00 μB/f.u.
Formation energy from raw total energies   -2.7751 eV per atom
Symmetry   C2/c, No. 15
VASP energy   -43.4 eV/f.u.

Geometry as POSCAR:
```
SrIn2F6
1.0
-6.461 3.881 1.198
-4.509 -5.170 2.780
1.522 3.831 6.148
Sr In F
2 4 12
direct
0.250 0.935 0.065
0.750 0.065 0.935
0.298 0.438 0.255
0.798 0.255 0.438
0.202 0.745 0.562
0.702 0.562 0.745
0.404 0.195 0.026
0.904 0.026 0.195
0.096 0.974 0.805
0.596 0.805 0.974
0.276 0.599 0.049
0.776 0.049 0.599
0.224 0.951 0.401
0.724 0.401 0.951
0.571 0.283 0.300
0.071 0.300 0.283
0.929 0.700 0.717
0.429 0.717 0.700
```



[3]
This record from the Alexandria database describes a geometry-optimized HfWI2N structure. The functional is GGA-PBE.

Total moment   4.87 μB/f.u.
Formation energy from raw total energies   0.9993 eV per atom
Symmetry   P4/mmm, No. 123
VASP energy   -29.3 eV/f.u.

Geometry as POSCAR:
```
HfWI2N
1.0
5.866 0.000 0.000
0.000 5.866 0.000
0.000 0.000 3.953
I Hf W N
2 1 1 1
direct
0.000 0.500 0.000
0.500 0.000 0.000
0.000 0.000 0.000
0.500 0.500 0.500
0.000 0.000 0.500
```